# MnNb2As, relaxed, DFT PBE
data_MnNb2As
_cell_length_a 3.836
_cell_length_b 3.836
_cell_length_c 18.551
_cell_angle_alpha 90.00
_cell_angle_beta 90.00
_cell_angle_gamma 90.00
_space_group_name_H-M_alt 'I -4 2 d'
_space_group_IT_number 122
_space_group_name_Hall 'I -4 2bw'
loop_
_atom_site_label
_atom_site_type_symbol
_atom_site_fract_x
_atom_site_fract_y
_atom_site_fract_z
Mn1 Mn 0.000 0.000 0.000
Nb1 Nb 0.245 0.250 0.625
As1 As 0.000 0.000 0.500
# Formation energy from the elements ... 1.828 eV/f.u.
# Calculated total energy ... -128.52 eV for the cell shown

# CoCuS2, relaxed, DFT PBE
data_CoCuS2
_cell_length_a 5.905
_cell_length_b 5.905
_cell_length_c 5.905
_cell_angle_alpha 90.00
_cell_angle_beta 90.00
_cell_angle_gamma 90.00
_space_group_name_H-M_alt 'F m -3 m'
_space_group_IT_number 225
_space_group_name_Hall '-F 4 2 3'
loop_
_atom_site_label
_atom_site_type_symbol
_atom_site_fract_x
_atom_site_fract_y
_atom_site_fract_z
Co1 Co 0.000 0.000 0.000
Cu1 Cu 0.000 0.000 0.500
S1 S 0.250 0.250 0.250
# Calculated total energy ... -73.30 eV for the cell shown
# E_form (uncorrected) ... 0.28 eV/atom

# NpPaOs2, relaxed, DFT PBE
data_NpPaOs2
_cell_length_a 3.9689
_cell_length_b 3.9689
_cell_length_c 18.8860
_cell_angle_alpha 90.00
_cell_angle_beta 90.00
_cell_angle_gamma 120.00
_space_group_name_H-M_alt 'R -3 m'
_space_group_IT_number 166
_space_group_name_Hall '-R 3 2"'
loop_
_atom_site_label
_atom_site_type_symbol
_atom_site_fract_x
_atom_site_fract_y
_atom_site_fract_z
Np1 Np 0.0000 0.0000 0.0000
Pa1 Pa 0.0000 0.0000 0.5000
Os1 Os 0.0000 0.0000 0.2533
# Formation energy from the elements ... 0.264 eV/f.u.
# Energy above the lowest structure with this stoichiometry ... 87 meV/atom
# Calculated total energy ... -133.90 eV for the cell shown

# Sr5In, relaxed, DFT PBE
data_Sr5In
_cell_length_a 10.666
_cell_length_b 10.666
_cell_length_c 10.666
_cell_angle_alpha 90.00
_cell_angle_beta 90.00
_cell_angle_gamma 90.00
_space_group_name_H-M_alt 'F -4 3 m'
_space_group_IT_number 216
_space_group_name_Hall 'F -4 2 3'
loop_
_atom_site_label
_atom_site_type_symbol
_atom_site_fract_x
_atom_site_fract_y
_atom_site_fract_z
Sr1 Sr 0.000 0.000 0.000
Sr2 Sr 0.124 0.124 0.624
In1 In 0.250 0.250 0.250
# Formation energy from the elements ... 1.233 eV/f.u.
# Energy above the lowest structure with this stoichiometry ... 338 meV/atom
# Calculated total energy ... -39.66 eV for the cell shown

# LiHgCl4, relaxed, DFT PBE
data_LiHgCl4
_cell_length_a 7.078
_cell_length_b 6.324
_cell_length_c 8.045
_cell_angle_alpha 90.00
_cell_angle_beta 116.21
_cell_angle_gamma 90.00
_space_group_name_H-M_alt 'P 1 21/c 1'
_space_group_IT_number 14
_space_group_name_Hall '-P 2ybc'
loop_
_atom_site_label
_atom_site_type_symbol
_atom_site_fract_x
_atom_site_fract_y
_atom_site_fract_z
Li1 Li 0.000 0.000 0.000
Hg1 Hg 0.500 0.000 0.000
Cl1 Cl 0.175 0.214 0.858
Cl2 Cl 0.307 0.731 0.625
# Energy above the lowest structure with this stoichiometry ... 0 meV/atom
# Calculated total energy ... -28.43 eV for the cell shown
# E_form (uncorrected) ... -0.77 eV/atom

# AcGa9Pd2, relaxed, DFT PBE
data_AcGa9Pd2
_cell_length_a 10.743
_cell_length_b 10.743
_cell_length_c 7.750
_cell_angle_alpha 90.00
_cell_angle_beta 90.00
_cell_angle_gamma 90.00
_space_group_name_H-M_alt 'I 41/a m d'
_space_group_IT_number 141
loop_
_space_group_symop_operation_xyz
'x,y,z'
'-x,-y,-z'
'-y+1/4,x+3/4,z+1/4'
'y+1/4,-x+3/4,-z+1/4'
'-x+1/2,-y,z+1/2'
'x+1/2,y,-z+1/2'
'y+1/4,-x+1/4,z+3/4'
'-y+1/4,x+1/4,-z+3/4'
'x,-y,-z'
'-x,y,z'
'-y+1/4,-x+1/4,-z+3/4'
'y+1/4,x+1/4,z+3/4'
'-x+1/2,y,-z+1/2'
'x+1/2,-y,z+1/2'
'y+1/4,x+3/4,-z+1/4'
'-y+1/4,-x+3/4,z+1/4'
'x+1/2,y+1/2,z+1/2'
'-x+1/2,-y+1/2,-z+1/2'
'-y+3/4,x+1/4,z+3/4'
'y+3/4,-x+1/4,-z+3/4'
'-x,-y+1/2,z'
'x,y+1/2,-z'
'y+3/4,-x+3/4,z+1/4'
'-y+3/4,x+3/4,-z+1/4'
'x+1/2,-y+1/2,-z+1/2'
'-x+1/2,y+1/2,z+1/2'
'-y+3/4,-x+3/4,-z+1/4'
'y+3/4,x+3/4,z+1/4'
'-x,y+1/2,-z'
'x,-y+1/2,z'
'y+3/4,x+1/4,-z+3/4'
'-y+3/4,-x+1/4,z+3/4'
loop_
_atom_site_label
_atom_site_type_symbol
_atom_site_fract_x
_atom_site_fract_y
_atom_site_fract_z
Ac1 Ac 0.000 0.250 0.375
Ga1 Ga 0.000 0.250 0.875
Ga2 Ga 0.122 0.047 0.681
Pd1 Pd 0.000 0.000 0.000
# Formation energy from the elements ... -4.686 eV/f.u.
# Energy above the lowest structure with this stoichiometry ... 0 meV/atom
# Calculated total energy ... -185.69 eV for the cell shown